Model w:
Density functional theory data (PBE-GGA) for a relaxed Li3BiB2O6 crystal.

Geometry as POSCAR:
```
Li3BiB2O6
1.0
5.203 0.042 -0.189
-0.058 7.654 -0.727
-0.557 -4.557 8.422
O Li B Bi
12 6 4 2
Direct
0.507 0.248 0.123 O
0.864 0.218 0.378 O
0.239 0.298 0.935 O
0.803 0.026 0.672 O
0.197 0.974 0.328 O
0.697 0.655 0.508 O
0.303 0.345 0.492 O
0.142 0.474 0.223 O
0.136 0.782 0.622 O
0.858 0.526 0.777 O
0.493 0.752 0.877 O
0.761 0.702 0.065 O
0.824 0.419 0.294 Li
0.962 0.301 0.796 Li
0.176 0.581 0.706 Li
0.671 0.434 0.562 Li
0.329 0.566 0.438 Li
0.038 0.699 0.204 Li
0.289 0.346 0.098 B
0.877 0.821 0.596 B
0.711 0.654 0.902 B
0.123 0.179 0.404 B
0.467 0.005 0.803 Bi
0.533 0.995 0.197 Bi
```

Calculated values
Magnetization, Bohr magnetons per cell: 0.000
Symmetry: P-1 (2)

=====

Model x:
Density functional theory data (PBE-GGA) for a relaxed Li3BiB2O6 crystal.

Geometry as POSCAR:
```
Li3BiB2O6
1.0
-4.826 1.248 -0.141
-0.504 -1.070 -7.306
-2.522 -7.736 -2.005
O Bi Li B
12 2 6 4
Direct
0.699 0.238 0.399 O
0.686 0.995 0.695 O
0.820 0.151 0.021 O
0.393 0.310 0.930 O
0.301 0.762 0.601 O
0.314 0.005 0.305 O
0.180 0.849 0.979 O
0.607 0.690 0.070 O
0.210 0.533 0.226 O
0.925 0.805 0.423 O
0.075 0.195 0.577 O
0.790 0.467 0.774 O
0.795 0.558 0.315 Bi
0.205 0.442 0.685 Bi
0.693 0.758 0.641 Li
0.307 0.242 0.359 Li
0.297 0.952 0.730 Li
0.703 0.048 0.270 Li
0.807 0.928 0.928 Li
0.193 0.072 0.072 Li
0.324 0.695 0.086 B
0.818 0.137 0.563 B
0.676 0.305 0.914 B
0.182 0.863 0.437 B
```

Calculated values
Magnetization, Bohr magnetons per cell: 0.000
Symmetry: P-1 (2)

=====

The structure with the most favorable energy is model x; the runner-up is 0.030 eV/atom above it.

=====

Model w:
Density functional theory data (PBE-GGA) for a relaxed Mg2BiB crystal.

Geometry as POSCAR:
```
Mg2BiB
1.0
0.000 3.443 3.443
3.443 0.000 3.443
3.443 3.443 0.000
B Bi Mg
1 1 2
Direct
0.000 0.000 0.000 B
0.500 0.500 0.500 Bi
0.250 0.250 0.250 Mg
0.750 0.750 0.750 Mg
```

Calculated values
Magnetization, Bohr magnetons per cell: 0.000
Symmetry: Fm-3m (225)

=====

Model x:
Density functional theory data (PBE-GGA) for a relaxed Mg2BiB crystal.

Geometry as POSCAR:
```
Mg2BiB
1.0
-7.634 1.578 1.652
0.222 -5.223 6.013
-2.936 0.145 5.513
Mg Bi B
4 2 2
Direct
0.237 0.625 0.250 Mg
0.513 0.125 0.250 Mg
0.875 0.763 0.750 Mg
0.375 0.487 0.750 Mg
0.750 0.250 0.500 Bi
0.000 0.000 0.000 Bi
0.250 0.750 0.500 B
0.500 0.500 0.000 B
```

Calculated values
Magnetization, Bohr magnetons per cell: 0.000
Symmetry: I-42d (122)

=====

The structure with the most favorable energy is model x; the runner-up is 0.164 eV/atom above it.

=====

Model w:
Density functional theory data (PBE-GGA) for a relaxed Mg6BiBO8 crystal.

Geometry as POSCAR:
```
Mg6BiBO8
1.0
-3.844 1.626 -1.529
-2.218 -3.129 2.247
-0.515 5.470 7.111
Mg O Bi B
6 8 1 1
Direct
0.500 0.000 0.734 Mg
0.000 0.500 0.266 Mg
0.500 0.000 0.266 Mg
0.000 0.500 0.734 Mg
0.500 0.500 0.500 Mg
0.000 0.000 0.500 Mg
0.000 0.000 0.728 O
0.000 0.000 0.272 O
0.500 0.000 0.000 O
0.500 0.500 0.269 O
0.500 0.500 0.731 O
0.000 0.500 0.500 O
0.500 0.000 0.500 O
0.000 0.500 0.000 O
0.500 0.500 0.000 Bi
0.000 0.000 0.000 B
```

Calculated values
Magnetization, Bohr magnetons per cell: 0.000
Symmetry: P4/mmm (123)

=====

Model x:
Density functional theory data (PBE-GGA) for a relaxed Mg6BiBO8 crystal.

Geometry as POSCAR:
```
Mg6BiBO8
1.0
-3.157 2.476 -1.941
0.375 -2.433 -3.715
-6.314 -5.650 3.063
O B Mg Bi
8 1 6 1
Direct
0.500 0.000 0.500 O
0.500 0.500 0.751 O
0.000 0.000 0.240 O
0.000 0.000 0.760 O
0.000 0.500 0.000 O
0.500 0.500 0.249 O
0.500 0.000 0.000 O
0.000 0.500 0.500 O
0.000 0.000 0.000 B
0.000 0.500 0.777 Mg
0.500 0.000 0.223 Mg
0.500 0.500 0.500 Mg
0.000 0.500 0.223 Mg
0.500 0.000 0.777 Mg
0.500 0.500 0.000 Mg
0.000 0.000 0.500 Bi
```

Calculated values
Magnetization, Bohr magnetons per cell: 0.000
Symmetry: P4/mmm (123)

=====

The structure with the most favorable energy is model w; the runner-up is 0.043 eV/atom above it.

=====

Model w:
Density functional theory data (PBE-GGA) for a relaxed Mn2BiB crystal.

Geometry as POSCAR:
```
Mn2BiB
1.0
0.350 -4.115 -0.879
-1.787 -2.860 2.540
-3.374 -2.173 -1.312
Mn B Bi
2 1 1
Direct
0.250 0.250 0.250 Mn
0.750 0.750 0.750 Mn
0.000 0.000 0.000 B
0.500 0.500 0.500 Bi
```

Calculated values
Magnetization, Bohr magnetons per cell: 2.035
Symmetry: Fm-3m (225)

=====

Model x:
Density functional theory data (PBE-GGA) for a relaxed Mn2BiB crystal.

Geometry as POSCAR:
```
Mn2BiB
1.0
5.053 0.000 0.000
0.000 5.053 0.000
2.526 2.526 5.816
Mn Bi B
4 2 2
Direct
0.875 0.529 0.750 Mn
0.279 0.125 0.250 Mn
0.375 0.721 0.750 Mn
0.471 0.625 0.250 Mn
0.750 0.250 0.500 Bi
0.000 0.000 0.000 Bi
0.500 0.500 0.000 B
0.250 0.750 0.500 B
```

Calculated values
Magnetization, Bohr magnetons per cell: 11.349
Symmetry: I-42d (122)

=====

The structure with the most favorable energy is model x; the runner-up is 0.441 eV/atom above it.